1.
# Ba3In2MoO8

A relaxed structure of Ba3In2MoO8 (PBE+U, Alexandria).

a b c (Å): 5.9895 5.9895 7.7961
angles (deg): 90.00 90.00 120.00
Last column: nearest neighbours and their distance in Å.
Space group P-3m1 (No. 164)
Inequivalent atoms, fractional coordinates:
Ba (0.0000, 0.0000, 0.0000) [1 per cell]  6 O 3.09
Ba (0.3333, 0.6667, 0.6375) [2 per cell]  1 O 2.44
In (0.3333, 0.6667, 0.2039) [2 per cell]  4 O 1.98-2.09
Mo (0.0000, 0.0000, 0.5000) [1 per cell]  6 O 2.08
O (0.1579, 0.3158, 0.3359) [6 per cell]  1 Mo 2.08, 1 In 2.09
O (0.3333, 0.6667, 0.9502) [2 per cell]  1 In 1.98

## Properties
electronic total energy: -85.920 eV/cell
magnetization: 2.000 μB per cell
density: 5.9 g cm⁻³



2.
# Ba3InMo2O9

A relaxed structure of Ba3InMo2O9 (PBE+U, Alexandria).

a b c (Å): 5.9239 5.9239 7.1836
angles (deg): 90.00 90.00 120.00
Last column: nearest neighbours and their distance in Å.
Space group P-3m1 (No. 164)
Inequivalent atoms, fractional coordinates:
Ba (0.0000, 0.0000, 0.0000) [1 per cell]  12 O 2.91-2.96
Ba (0.3333, 0.6667, 0.6638) [2 per cell]  12 O 2.96
In (0.0000, 0.0000, 0.5000) [1 per cell]  6 O 2.18
Mo (0.3333, 0.6667, 0.1635) [2 per cell]  6 O 2.01-2.07
O (0.0000, 0.5000, 0.0000) [3 per cell]  2 Mo 2.07
O (0.1717, 0.3433, 0.3221) [6 per cell]  1 Mo 2.01, 1 In 2.18

## Properties
electronic total energy: -100.047 eV/cell
magnetization: 3.000 μB per cell
density: 6.6 g cm⁻³